Below is VBiTeO6 after structural relaxation, with properties calculated at the PBE+U level.

a b c (Å): 5.3066 5.3066 9.9738
angles (deg): 90.00 90.00 120.00
Space group P-31c (No. 163)
Asymmetric unit:
V1 0.3333 0.6667 0.2500 x2
Bi1 0.0000 0.0000 0.0000 x2
Te1 0.3333 0.6667 0.7500 x2
O1 0.0122 0.3710 0.6418 x12

## Properties
**Final energy**: -114.04 eV/cell
**V**: 121.6 Å³/f.u.
**Magnetization**: 4.000 μB per cell